No. 1
The following is a GGA-PBE calculation of a geometry-optimized MgRe4 structure, from the Alexandria database.

Total moment   0.00 μB per atom
DFT formation energy   2.491 eV per atom
E above lowest polymorph   2223 meV/atom

Cell and atoms, written as CIF:
```
data_MgRe4
_chemical_formula_sum 'Mg1 Re4'
_cell_length_a 4.382
_cell_length_b 4.382
_cell_length_c 4.382
_cell_angle_alpha 90.00
_cell_angle_beta 90.00
_cell_angle_gamma 90.00
_space_group_name_H-M_alt 'P m -3 m'
_space_group_IT_number 221
_space_group_name_Hall '-P 4 2 3'
loop_
_atom_site_label
_atom_site_type_symbol
_atom_site_fract_x
_atom_site_fract_y
_atom_site_fract_z
_atom_site_occupancy
Mg1 Mg 0.000 0.000 0.000 1
Re1 Re 0.000 0.000 0.500 1
Re2 Re 0.500 0.500 0.500 1
```

No. 2
The following is a GGA-PBE calculation of a geometry-optimized MgRe5 structure, from the Alexandria database.

Total moment   0.00 μB per atom
DFT formation energy   0.201 eV per atom
E above lowest polymorph   23 meV/atom

Cell and atoms, written as CIF:
```
data_MgRe5
_chemical_formula_sum 'Mg1 Re5'
_cell_length_a 4.7832
_cell_length_b 4.7832
_cell_length_c 4.5728
_cell_angle_alpha 90.00
_cell_angle_beta 90.00
_cell_angle_gamma 120.00
_space_group_name_H-M_alt 'P -6 2 m'
_space_group_IT_number 189
_space_group_name_Hall 'P -6 -2'
loop_
_atom_site_label
_atom_site_type_symbol
_atom_site_fract_x
_atom_site_fract_y
_atom_site_fract_z
_atom_site_occupancy
Mg1 Mg 0.0000 0.0000 0.0000 1
Re1 Re 0.0000 0.6710 0.5000 1
Re2 Re 0.3333 0.6667 0.0000 1
```

No. 3
The following is a GGA-PBE calculation of a geometry-optimized Mg3Re structure, from the Alexandria database.

Total moment   0.00 μB per atom
DFT formation energy   0.265 eV per atom
E above lowest polymorph   81 meV/atom

Cell and atoms, written as CIF:
```
data_Mg3Re
_chemical_formula_sum 'Mg6 Re2'
_cell_length_a 3.335
_cell_length_b 4.554
_cell_length_c 9.665
_cell_angle_alpha 90.00
_cell_angle_beta 90.00
_cell_angle_gamma 90.00
_space_group_name_H-M_alt 'C m m m'
_space_group_IT_number 65
_space_group_name_Hall '-C 2 2'
loop_
_atom_site_label
_atom_site_type_symbol
_atom_site_fract_x
_atom_site_fract_y
_atom_site_fract_z
_atom_site_occupancy
Mg1 Mg 0.000 0.000 0.000 1
Mg2 Mg 0.000 0.500 0.272 1
Re1 Re 0.000 0.000 0.500 1
```

No. 4
The following is a GGA-PBE calculation of a geometry-optimized MgReRh2 structure, from the Alexandria database.

Total moment   0.00 μB per atom
DFT formation energy   -0.022 eV per atom

Cell and atoms, written as CIF:
```
data_MgReRh2
_chemical_formula_sum 'Mg2 Re2 Rh4'
_cell_length_a 8.946
_cell_length_b 2.728
_cell_length_c 4.937
_cell_angle_alpha 90.00
_cell_angle_beta 97.55
_cell_angle_gamma 90.00
_space_group_name_H-M_alt 'C 1 2/m 1'
_space_group_IT_number 12
loop_
_space_group_symop_operation_xyz
'x,y,z'
'-x,-y,-z'
'-x,y,-z'
'x,-y,z'
'x+1/2,y+1/2,z'
'-x+1/2,-y+1/2,-z'
'-x+1/2,y+1/2,-z'
'x+1/2,-y+1/2,z'
loop_
_atom_site_label
_atom_site_type_symbol
_atom_site_fract_x
_atom_site_fract_y
_atom_site_fract_z
_atom_site_occupancy
Mg1 Mg 0.000 0.000 0.000 1
Re1 Re 0.000 0.500 0.500 1
Rh1 Rh 0.248 0.000 0.738 1
```

No. 5
The following is a GGA-PBE calculation of a geometry-optimized MgReRh2 structure, from the Alexandria database.

Total moment   0.00 μB per atom
DFT formation energy   -0.090 eV per atom

Cell and atoms, written as CIF:
```
data_MgReRh2
_chemical_formula_sum 'Mg1 Re1 Rh2'
_cell_length_a 4.612
_cell_length_b 4.612
_cell_length_c 2.803
_cell_angle_alpha 90.00
_cell_angle_beta 90.00
_cell_angle_gamma 90.00
_space_group_name_H-M_alt 'P 4/m m m'
_space_group_IT_number 123
_space_group_name_Hall '-P 4 2'
loop_
_atom_site_label
_atom_site_type_symbol
_atom_site_fract_x
_atom_site_fract_y
_atom_site_fract_z
_atom_site_occupancy
Mg1 Mg 0.000 0.000 0.000 1
Re1 Re 0.500 0.500 0.000 1
Rh1 Rh 0.000 0.500 0.500 1
```

No. 6
The following is a GGA-PBE calculation of a geometry-optimized MgRe2Rh structure, from the Alexandria database.

Total moment   0.00 μB per atom
DFT formation energy   0.186 eV per atom

Cell and atoms, written as CIF:
```
data_MgRe2Rh
_chemical_formula_sum 'Mg3 Re6 Rh3'
_cell_length_a 2.7730
_cell_length_b 2.7730
_cell_length_c 27.6710
_cell_angle_alpha 90.00
_cell_angle_beta 90.00
_cell_angle_gamma 120.00
_space_group_name_H-M_alt 'R -3 m'
_space_group_IT_number 166
_space_group_name_Hall '-R 3 2"'
loop_
_atom_site_label
_atom_site_type_symbol
_atom_site_fract_x
_atom_site_fract_y
_atom_site_fract_z
_atom_site_occupancy
Mg1 Mg 0.0000 0.0000 0.0000 1
Re1 Re 0.0000 0.0000 0.2459 1
Rh1 Rh 0.0000 0.0000 0.5000 1
```

No. 7
The following is a GGA-PBE calculation of a geometry-optimized MgReRh2 structure, from the Alexandria database.

Total moment   0.00 μB per atom
DFT formation energy   -0.150 eV per atom

Cell and atoms, written as CIF:
```
data_MgReRh2
_chemical_formula_sum 'Mg2 Re2 Rh4'
_cell_length_a 9.279
_cell_length_b 2.791
_cell_length_c 4.682
_cell_angle_alpha 90.00
_cell_angle_beta 100.78
_cell_angle_gamma 90.00
_space_group_name_H-M_alt 'C 1 m 1'
_space_group_IT_number 8
loop_
_space_group_symop_operation_xyz
'x,y,z'
'x,-y,z'
'x+1/2,y+1/2,z'
'x+1/2,-y+1/2,z'
loop_
_atom_site_label
_atom_site_type_symbol
_atom_site_fract_x
_atom_site_fract_y
_atom_site_fract_z
_atom_site_occupancy
Mg1 Mg 0.000 0.000 0.000 1
Re1 Re 0.233 0.000 0.664 1
Rh1 Rh 0.250 0.500 0.164 1
Rh2 Rh 0.491 0.000 0.500 1
```

No. 8
The following is a GGA-PBE calculation of a geometry-optimized MgReRh2 structure, from the Alexandria database.

Total moment   0.00 μB per atom
DFT formation energy   -0.282 eV per atom

Cell and atoms, written as CIF:
```
data_MgReRh2
_chemical_formula_sum 'Mg1 Re1 Rh2'
_cell_length_a 2.824
_cell_length_b 2.824
_cell_length_c 7.457
_cell_angle_alpha 90.00
_cell_angle_beta 90.00
_cell_angle_gamma 90.00
_space_group_name_H-M_alt 'P 4/m m m'
_space_group_IT_number 123
_space_group_name_Hall '-P 4 2'
loop_
_atom_site_label
_atom_site_type_symbol
_atom_site_fract_x
_atom_site_fract_y
_atom_site_fract_z
_atom_site_occupancy
Mg1 Mg 0.000 0.000 0.000 1
Re1 Re 0.000 0.000 0.500 1
Rh1 Rh 0.500 0.500 0.259 1
```